The following is a DFT calculation (PBE-GGA) of a geometry-optimized V3SnH structure.

Output
space group	No. 38

Geometry as POSCAR:
```
V3SnH
1.0
2.751 0.000 0.000
0.000 2.333 6.895
0.000 -2.333 6.895
V Sn H
3 1 1
Direct
0.000 0.000 0.000
0.500 0.111 0.620
0.500 0.620 0.111
0.500 0.176 0.176
0.000 0.804 0.804
```

=====

The following is a DFT calculation (PBE-GGA) of a geometry-optimized LuAlAgRu structure.

Output
formation energy	-33.0	kJ per mole of atoms
space group	No. 216

Geometry as POSCAR:
```
LuAlAgRu
1.0
0.000 3.271 3.271
3.271 0.000 3.271
3.271 3.271 0.000
Lu Al Ag Ru
1 1 1 1
Direct
0.000 0.000 0.000
0.500 0.500 0.500
0.750 0.750 0.750
0.250 0.250 0.250
```

=====

The following is a DFT calculation (PBE-GGA) of a geometry-optimized Zr3TlH structure.

Output
space group	No. 15

Geometry as POSCAR:
```
Zr3TlH
1.0
3.105 -4.824 0.000
3.105 4.824 0.000
-0.003 0.000 6.207
Zr Tl H
6 2 2
Direct
0.246 0.247 0.000
0.246 0.754 0.750
0.247 0.246 0.500
0.753 0.754 0.500
0.754 0.246 0.250
0.754 0.753 0.000
0.244 0.756 0.250
0.756 0.244 0.750
0.458 0.542 0.750
0.542 0.458 0.250
```

=====

Result set for total energy: -6.326 -5.439 -6.492 eV/atom, one per record in the order listed.
Result set for mass density: 5.1 9.8 8.6 g cm⁻³, one per record in the order listed.